Material: CsAsPdSe2
Method: DFT, GGA-PBEsol
State: optimized geometry

Cell and atoms, written as POSCAR:
```
CsAsPdSe2
1.0
5.595 0.000 0.000
0.000 5.595 0.000
0.000 0.000 5.693
Cs As Pd Se
1 1 1 2
Cartesian
0.000 0.000 0.000
0.000 0.000 2.847
2.797 2.797 2.847
0.000 2.797 0.000
2.797 0.000 0.000
```

Results
Space-group type: No. 123
Uncorrected formation energy, eV/atom: 1.78
E, eV per atom: -2.17
Density, Mg/m³: 4.40


Material: Cs2RbAs
Method: DFT, GGA-PBEsol
State: optimized geometry

Cell and atoms, written as POSCAR:
```
Cs2RbAs
1.0
0.000 4.307 4.307
4.307 0.000 4.307
4.307 4.307 0.000
Cs Rb As
2 1 1
Cartesian
2.153 2.153 2.153
6.460 6.460 6.460
0.000 0.000 0.000
4.307 4.307 4.307
```

Results
Space-group type: No. 225
Energy relative to the elements, eV per atom: -0.217
E, eV per atom: -2.22
Density, Mg/m³: 4.43


Material: CsRbAsSe2
Method: DFT, GGA-PBEsol
State: optimized geometry

Cell and atoms, written as POSCAR:
```
CsRbAsSe2
1.0
5.919 0.000 0.000
0.000 5.919 0.000
0.000 0.000 5.983
Cs Rb As Se
1 1 1 2
Cartesian
0.000 0.000 0.000
2.959 2.959 2.992
0.000 0.000 2.992
0.000 2.959 0.000
2.959 0.000 0.000
```

Results
Distance to the lowest polymorph of the same formula, meV/atom: 58
Space-group type: No. 123
Uncorrected formation energy, eV/atom: 0.54
E, eV per atom: -2.41
Density, Mg/m³: 3.57


Material: CsRbAsSe2
Method: DFT, GGA-PBEsol
State: optimized geometry

Cell and atoms, written as POSCAR:
```
CsRbAsSe2
1.0
6.176 0.000 0.000
0.000 6.176 0.000
0.000 0.000 6.353
Cs Rb As Se
1 1 1 2
Cartesian
0.000 0.000 0.000
3.088 3.088 3.177
3.088 3.088 0.000
0.000 3.088 3.177
3.088 0.000 3.177
```

Results
Distance to the lowest polymorph of the same formula, meV/atom: 0
Space-group type: No. 123
Uncorrected formation energy, eV/atom: 0.48
E, eV per atom: -2.47
Density, Mg/m³: 3.09


Material: CsReAsSe2
Method: DFT, GGA-PBEsol
State: optimized geometry

Cell and atoms, written as POSCAR:
```
CsReAsSe2
1.0
5.080 0.000 0.000
0.000 5.080 0.000
0.000 0.000 4.805
Cs Re As Se
1 1 1 2
Cartesian
0.000 0.000 0.000
2.540 2.540 2.403
2.540 2.540 0.000
0.000 2.540 2.403
2.540 0.000 2.403
```

Results
Space-group type: No. 123
Uncorrected formation energy, eV/atom: 0.02
E, eV per atom: -5.40
Density, Mg/m³: 7.39


Material: CsAs2Rh2
Method: DFT, GGA-PBEsol
State: optimized geometry

Cell and atoms, written as POSCAR:
```
CsAs2Rh2
1.0
-1.989 1.989 7.279
1.989 -1.989 7.279
1.989 1.989 -7.279
Cs As Rh
1 2 2
Cartesian
0.000 0.000 0.000
0.000 0.000 5.014
0.000 0.000 9.544
1.989 0.000 3.640
0.000 1.989 3.640
```

Results
Space-group type: No. 139
Energy relative to the elements, eV per atom: -0.623
E, eV per atom: -6.11
Density, Mg/m³: 7.04


Material: CsAs2RhSe
Method: DFT, GGA-PBEsol
State: optimized geometry

Cell and atoms, written as POSCAR:
```
CsAs2RhSe
1.0
4.751 0.000 0.000
0.000 4.751 0.000
0.000 0.000 5.585
Cs As Rh Se
1 2 1 1
Cartesian
0.000 0.000 0.000
0.000 2.376 2.792
2.376 0.000 2.792
2.376 2.376 2.792
2.376 2.376 0.000
```

Results
Space-group type: No. 123
Uncorrected formation energy, eV/atom: 0.02
E, eV per atom: -4.61
Density, Mg/m³: 6.12


Material: CsAs2Ru2
Method: DFT, GGA-PBEsol
State: optimized geometry

Cell and atoms, written as POSCAR:
```
CsAs2Ru2
1.0
-2.009 2.009 7.218
2.009 -2.009 7.218
2.009 2.009 -7.218
Cs As Ru
1 2 2
Cartesian
0.000 0.000 0.000
0.000 0.000 4.950
0.000 0.000 9.487
2.009 0.000 3.609
0.000 2.009 3.609
```

Results
Space-group type: No. 139
Energy relative to the elements, eV per atom: -0.364
E, eV per atom: -6.66
Density, Mg/m³: 6.91


Material: CsAsS3
Method: DFT, GGA-PBEsol
State: optimized geometry

Cell and atoms, written as POSCAR:
```
CsAsS3
1.0
4.917 0.000 0.000
0.000 4.917 0.000
0.000 0.000 4.917
Cs As S
1 1 3
Cartesian
0.000 0.000 0.000
2.458 2.458 2.458
0.000 2.458 2.458
2.458 0.000 2.458
2.458 2.458 0.000
```

Results
Space-group type: No. 221
Uncorrected formation energy, eV/atom: -0.15
E, eV per atom: -3.99
Density, Mg/m³: 4.25


Material: CsAsSe2S
Method: DFT, GGA-PBEsol
State: optimized geometry

Cell and atoms, written as POSCAR:
```
CsAsSe2S
1.0
5.629 0.000 0.000
0.000 5.629 0.000
0.000 0.000 6.979
Cs As Se S
1 1 2 1
Cartesian
0.000 0.000 0.000
0.000 0.000 3.490
0.000 2.815 0.000
2.815 0.000 0.000
2.815 2.815 3.490
```

Results
Space-group type: No. 123
Uncorrected formation energy, eV/atom: 1.79
E, eV per atom: -1.83
Density, Mg/m³: 2.99


Material: CsSb2As2
Method: DFT, GGA-PBEsol
State: optimized geometry

Cell and atoms, written as POSCAR:
```
CsSb2As2
1.0
-2.597 2.597 5.881
2.597 -2.597 5.881
2.597 2.597 -5.881
Cs Sb As
1 2 2
Cartesian
0.000 0.000 0.000
0.000 0.000 3.969
0.000 0.000 7.793
2.597 0.000 2.941
0.000 2.597 2.941
```

Results
Space-group type: No. 139
Uncorrected formation energy, eV/atom: -0.18
E, eV per atom: -4.24
Density, Mg/m³: 5.51


Material: Cs2SbAs2
Method: DFT, GGA-PBEsol
State: optimized geometry

Cell and atoms, written as POSCAR:
```
Cs2SbAs2
1.0
7.387 0.000 0.000
0.000 7.387 0.000
0.000 0.000 5.879
Cs Sb As
4 2 4
Cartesian
1.338 2.355 0.000
2.355 6.049 0.000
5.031 1.338 0.000
6.049 5.031 0.000
0.000 0.000 2.939
3.693 3.693 2.939
0.865 4.559 2.939
2.828 0.865 2.939
4.559 6.521 2.939
6.521 2.828 2.939
```

Results
Space-group type: No. 127
Uncorrected formation energy, eV/atom: -0.31
E, eV per atom: -3.64
Density, Mg/m³: 5.56


Material: CsSr2SbAs
Method: DFT, GGA-PBEsol
State: optimized geometry

Cell and atoms, written as POSCAR:
```
CsSr2SbAs
1.0
5.919 0.000 0.000
0.000 5.919 0.000
0.000 0.000 5.942
Cs Sr Sb As
1 2 1 1
Cartesian
0.000 0.000 0.000
0.000 2.960 2.971
2.960 0.000 2.971
2.960 2.960 0.000
0.000 0.000 2.971
```

Results
Space-group type: No. 123
Uncorrected formation energy, eV/atom: -0.42
E, eV per atom: -3.28
Density, Mg/m³: 4.03


Material: CsAsSe2
Method: DFT, GGA-PBEsol
State: optimized geometry

Cell and atoms, written as POSCAR:
```
CsAsSe2
1.0
6.898 0.000 0.000
0.000 10.027 0.000
0.000 0.000 17.334
Cs As Se
8 8 16
Cartesian
1.019 2.032 1.409
1.019 2.981 10.076
2.430 7.046 1.409
2.430 7.995 10.076
4.468 2.032 7.258
4.468 2.981 15.925
5.879 7.046 7.258
5.879 7.995 15.925
1.594 0.372 5.050
1.594 4.641 13.717
1.855 5.386 5.050
1.855 9.655 13.717
5.043 0.372 3.617
5.043 4.641 12.285
5.304 5.386 3.617
5.304 9.655 12.285
0.080 6.188 12.481
0.080 8.853 3.814
0.999 0.230 7.315
0.999 4.783 15.982
2.450 5.244 7.315
2.450 9.797 15.982
3.369 1.175 12.481
3.369 3.839 3.814
3.529 6.188 13.520
3.529 8.853 4.853
4.448 0.230 1.353
4.448 4.783 10.020
5.899 5.244 1.353
5.899 9.797 10.020
6.817 1.175 13.520
6.817 3.839 4.853
```

Results
Space-group type: No. 61
Uncorrected formation energy, eV/atom: -0.61
E, eV per atom: -4.04
Density, Mg/m³: 4.05


Material: CsAsSe2
Method: DFT, GGA-PBEsol
State: optimized geometry

Cell and atoms, written as POSCAR:
```
CsAsSe2
1.0
6.969 0.000 0.000
0.000 14.719 0.000
-4.394 0.000 10.247
Cs As Se
8 8 16
Cartesian
1.167 3.010 0.472
-1.031 4.350 5.595
1.670 8.879 0.698
-0.528 13.200 5.822
3.102 1.519 4.425
0.905 5.841 9.548
3.605 10.370 4.652
1.408 11.709 9.775
-1.276 7.418 3.381
-3.473 14.661 8.504
-0.028 8.219 6.709
2.169 13.860 1.586
0.405 0.859 8.661
2.603 6.500 3.537
6.048 0.059 1.743
3.851 7.301 6.866
-0.347 1.334 3.595
-2.544 6.025 8.719
-1.750 1.557 7.733
0.447 5.803 2.610
-1.250 9.931 7.756
0.947 12.148 2.633
0.179 9.121 4.435
-2.018 12.958 9.559
4.593 1.761 0.688
2.396 5.599 5.811
1.627 2.571 7.614
3.825 4.788 2.491
2.128 8.917 7.636
4.325 13.162 2.513
5.119 8.694 1.528
2.921 13.385 6.651
```

Results
Space-group type: No. 14
Uncorrected formation energy, eV/atom: -0.61
E, eV per atom: -4.05
Density, Mg/m³: 4.62


Material: CsAs2Se3
Method: DFT, GGA-PBEsol
State: optimized geometry

Cell and atoms, written as POSCAR:
```
CsAs2Se3
1.0
14.440 0.000 0.000
0.000 7.461 0.000
0.000 0.000 13.232
Cs As Se
8 16 24
Cartesian
1.108 1.865 1.279
1.336 5.596 7.720
5.884 1.865 1.104
6.112 5.596 7.895
8.328 1.865 5.337
8.557 5.596 12.127
13.104 1.865 5.511
13.332 5.596 11.953
0.141 5.596 3.610
3.112 5.596 12.311
3.521 4.346 2.952
3.521 6.845 2.952
3.699 0.615 9.568
3.699 3.115 9.568
4.108 1.865 5.695
7.080 1.865 10.226
7.361 5.596 3.006
10.332 5.596 7.537
10.741 4.346 3.664
10.741 6.845 3.664
10.920 0.615 10.279
10.920 3.115 10.279
11.328 1.865 0.921
14.300 1.865 9.622
1.511 1.865 7.883
1.592 3.804 4.438
1.592 7.387 4.438
1.643 5.596 0.978
2.002 0.086 11.333
2.002 3.644 11.333
5.219 3.816 4.717
5.219 7.375 4.717
5.578 1.865 7.593
5.628 0.074 11.053
5.628 3.656 11.053
5.710 5.596 1.267
8.731 1.865 11.965
8.812 3.804 2.178
8.812 7.387 2.178
8.863 5.596 5.638
9.222 0.086 8.514
9.222 3.644 8.514
12.439 3.816 1.898
12.439 7.375 1.898
12.798 1.865 12.254
12.848 0.074 8.794
12.848 3.656 8.794
12.930 5.596 5.349
```

Results
Space-group type: No. 62
Uncorrected formation energy, eV/atom: -0.47
E, eV per atom: -4.25
Density, Mg/m³: 4.84


Material: Cs3AsSe
Method: DFT, GGA-PBEsol
State: optimized geometry

Cell and atoms, written as POSCAR:
```
Cs3AsSe
1.0
6.545 0.000 0.000
0.000 6.545 0.000
0.000 0.000 6.545
Cs As Se
3 1 1
Cartesian
0.000 0.000 3.273
0.000 3.273 0.000
3.273 0.000 0.000
0.000 0.000 0.000
3.273 3.273 3.273
```

Results
Space-group type: No. 221
Uncorrected formation energy, eV/atom: -0.15
E, eV per atom: -2.51
Density, Mg/m³: 3.27


Material: CsAsSe2
Method: DFT, GGA-PBEsol
State: optimized geometry

Cell and atoms, written as POSCAR:
```
CsAsSe2
1.0
-4.002 4.002 4.408
4.002 -4.002 4.408
4.002 4.002 -4.408
Cs As Se
2 2 4
Cartesian
0.000 0.000 0.000
0.000 4.002 2.204
4.002 0.000 2.204
0.000 0.000 4.408
2.001 2.881 -1.102
5.124 2.001 1.102
2.001 1.122 3.306
-1.122 2.001 5.510
```

Results
Space-group type: No. 122
Uncorrected formation energy, eV/atom: -0.47
E, eV per atom: -3.91
Density, Mg/m³: 4.30


Material: Cs3AsSe4
Method: DFT, GGA-PBEsol
State: optimized geometry

Cell and atoms, written as POSCAR:
```
Cs3AsSe4
1.0
9.785 0.000 0.000
0.000 11.727 0.000
0.000 0.000 10.370
Cs As Se
12 4 16
Cartesian
0.448 0.474 1.984
0.448 5.389 1.984
1.595 8.795 4.294
3.297 2.932 9.479
4.444 6.337 7.169
4.444 11.253 7.169
5.341 0.474 3.201
5.341 5.389 3.201
6.488 8.795 0.891
8.190 2.932 6.076
9.337 6.337 8.386
9.337 11.253 8.386
2.389 8.795 10.064
2.504 2.932 4.879
7.281 8.795 5.491
7.396 2.932 0.306
0.309 8.795 0.796
1.344 0.962 5.449
1.344 4.901 5.449
1.996 8.795 7.766
2.896 2.932 2.581
3.548 6.826 0.264
3.548 10.764 0.264
4.584 2.932 5.981
5.201 8.795 4.390
6.237 0.962 10.106
6.237 4.901 10.106
6.889 8.795 7.789
7.789 2.932 2.604
8.440 6.826 4.921
8.440 10.764 4.921
9.476 2.932 9.575
```

Results
Space-group type: No. 62
Uncorrected formation energy, eV/atom: -0.84
E, eV per atom: -3.76
Density, Mg/m³: 4.41


Material: CsSrAs2Se
Method: DFT, GGA-PBEsol
State: optimized geometry

Cell and atoms, written as POSCAR:
```
CsSrAs2Se
1.0
5.540 0.000 0.000
0.000 5.540 0.000
0.000 0.000 5.627
Cs Sr As Se
1 1 2 1
Cartesian
0.000 0.000 0.000
2.770 2.770 2.813
0.000 2.770 0.000
2.770 0.000 0.000
0.000 0.000 2.813
```

Results
Space-group type: No. 123
Uncorrected formation energy, eV/atom: 0.60
E, eV per atom: -2.77
Density, Mg/m³: 4.32


Material: CsTcAsSe2
Method: DFT, GGA-PBEsol
State: optimized geometry

Cell and atoms, written as POSCAR:
```
CsTcAsSe2
1.0
5.524 0.000 0.000
0.000 5.524 0.000
0.000 0.000 5.601
Cs Tc As Se
1 1 1 2
Cartesian
0.000 0.000 0.000
2.762 2.762 2.800
0.000 0.000 2.800
0.000 2.762 0.000
2.762 0.000 0.000
```

Results
Distance to the lowest polymorph of the same formula, meV/atom: 2240
Space-group type: No. 123
Uncorrected formation energy, eV/atom: 2.15
E, eV per atom: -2.85
Density, Mg/m³: 4.51